(1)
A plane-wave DFT calculation with PBE was carried out for an optimized crystal structure of Dy2PaSb3.

Structure (CIF):
```
data_Dy2PaSb3
_cell_length_a 6.194
_cell_length_b 13.118
_cell_length_c 8.754
_cell_angle_alpha 90.00
_cell_angle_beta 90.01
_cell_angle_gamma 90.00
_space_group_name_H-M_alt 'P 1 21/c 1'
_space_group_IT_number 14
loop_
_space_group_symop_operation_xyz
'x,y,z'
'-x,-y,-z'
'-x,y+1/2,-z+1/2'
'x,-y+1/2,z+1/2'
loop_
_atom_site_label
_atom_site_type_symbol
_atom_site_fract_x
_atom_site_fract_y
_atom_site_fract_z
Dy1 Dy 0.249 0.249 0.376
Dy2 Dy 0.250 0.583 0.877
Pa1 Pa 0.251 0.583 0.376
Sb1 Sb 0.249 0.084 0.127
Sb2 Sb 0.250 0.082 0.627
Sb3 Sb 0.251 0.750 0.126
```

D(E_F): 25.92 states/eV per cell
formation energy without anion corrections: -0.895 eV per atom

---

(2)
A plane-wave DFT calculation with PBE was carried out for an optimized crystal structure of LiHoFe.

Structure (CIF):
```
data_LiHoFe
_cell_length_a 3.8898
_cell_length_b 3.8898
_cell_length_c 10.2281
_cell_angle_alpha 90.00
_cell_angle_beta 90.00
_cell_angle_gamma 120.00
_space_group_name_H-M_alt 'P -3 m 1'
_space_group_IT_number 164
_space_group_name_Hall '-P 3 2"'
loop_
_atom_site_label
_atom_site_type_symbol
_atom_site_fract_x
_atom_site_fract_y
_atom_site_fract_z
Li1 Li 0.3333 0.6667 0.0775
Ho1 Ho 0.0000 0.0000 0.3227
Fe1 Fe 0.3333 0.6667 0.4918
```

D(E_F): 4.81 states/eV per cell
ΔE to the lowest computed polymorph: 0 meV per atom

---

(3)
A plane-wave DFT calculation with PBE was carried out for an optimized crystal structure of CeSm2I.

Structure (CIF):
```
data_CeSm2I
_cell_length_a 3.676
_cell_length_b 3.676
_cell_length_c 9.616
_cell_angle_alpha 90.00
_cell_angle_beta 90.00
_cell_angle_gamma 90.00
_space_group_name_H-M_alt 'P 4/m m m'
_space_group_IT_number 123
_space_group_name_Hall '-P 4 2'
loop_
_atom_site_label
_atom_site_type_symbol
_atom_site_fract_x
_atom_site_fract_y
_atom_site_fract_z
Ce1 Ce 0.000 0.000 0.000
Sm1 Sm 0.500 0.500 0.254
I1 I 0.000 0.000 0.500
```

D(E_F): 7.10 states/eV per cell
ΔE to the lowest computed polymorph: 34 meV per atom
formation energy without anion corrections: -0.268 eV per atom

---

(4)
A plane-wave DFT calculation with PBE was carried out for an optimized crystal structure of LiDy2Sn9.

Structure (CIF):
```
data_LiDy2Sn9
_cell_length_a 4.652
_cell_length_b 4.652
_cell_length_c 14.288
_cell_angle_alpha 90.00
_cell_angle_beta 90.00
_cell_angle_gamma 90.00
_space_group_name_H-M_alt 'P 4/m m m'
_space_group_IT_number 123
_space_group_name_Hall '-P 4 2'
loop_
_atom_site_label
_atom_site_type_symbol
_atom_site_fract_x
_atom_site_fract_y
_atom_site_fract_z
Li1 Li 0.000 0.000 0.000
Dy1 Dy 0.000 0.000 0.337
Sn1 Sn 0.000 0.500 0.161
Sn2 Sn 0.000 0.500 0.500
Sn3 Sn 0.500 0.500 0.000
Sn4 Sn 0.500 0.500 0.328
```

D(E_F): 5.18 states/eV per cell

---

(5)
A plane-wave DFT calculation with PBE was carried out for an optimized crystal structure of K3H7Pd2.

Structure (CIF):
```
data_K3H7Pd2
_cell_length_a 3.862
_cell_length_b 3.862
_cell_length_c 20.673
_cell_angle_alpha 90.00
_cell_angle_beta 90.00
_cell_angle_gamma 90.00
_space_group_name_H-M_alt 'I 4/m m m'
_space_group_IT_number 139
_space_group_name_Hall '-I 4 2'
loop_
_atom_site_label
_atom_site_type_symbol
_atom_site_fract_x
_atom_site_fract_y
_atom_site_fract_z
K1 K 0.000 0.000 0.000
K2 K 0.000 0.000 0.181
H1 H 0.000 0.000 0.326
H2 H 0.000 0.000 0.500
H3 H 0.000 0.500 0.090
Pd1 Pd 0.000 0.000 0.410
```

D(E_F): 2.65 states/eV per cell

---

(6)
A plane-wave DFT calculation with PBE was carried out for an optimized crystal structure of AcPr2Sm4.

Structure (CIF):
```
data_AcPr2Sm4
_cell_length_a 3.7176
_cell_length_b 3.7176
_cell_length_c 62.9699
_cell_angle_alpha 90.00
_cell_angle_beta 90.00
_cell_angle_gamma 120.00
_space_group_name_H-M_alt 'R -3 m'
_space_group_IT_number 166
_space_group_name_Hall '-R 3 2"'
loop_
_atom_site_label
_atom_site_type_symbol
_atom_site_fract_x
_atom_site_fract_y
_atom_site_fract_z
Ac1 Ac 0.0000 0.0000 0.0000
Pr1 Pr 0.0000 0.0000 0.4295
Sm1 Sm 0.0000 0.0000 0.1435
Sm2 Sm 0.0000 0.0000 0.2843
```

D(E_F): 27.27 states/eV per cell
ΔE to the lowest computed polymorph: 0 meV per atom

---

(7)
A plane-wave DFT calculation with PBE was carried out for an optimized crystal structure of NiBi2W.

Structure (CIF):
```
data_NiBi2W
_cell_length_a 6.887
_cell_length_b 6.887
_cell_length_c 6.887
_cell_angle_alpha 90.00
_cell_angle_beta 90.00
_cell_angle_gamma 90.00
_space_group_name_H-M_alt 'F m -3 m'
_space_group_IT_number 225
_space_group_name_Hall '-F 4 2 3'
loop_
_atom_site_label
_atom_site_type_symbol
_atom_site_fract_x
_atom_site_fract_y
_atom_site_fract_z
Ni1 Ni 0.000 0.000 0.000
Bi1 Bi 0.250 0.250 0.250
W1 W 0.000 0.000 0.500
```

D(E_F): 19.62 states/eV per cell
ΔE to the lowest computed polymorph: 0 meV per atom

---

(8)
A plane-wave DFT calculation with PBE was carried out for an optimized crystal structure of Pr2Zn3Au.

Structure (CIF):
```
data_Pr2Zn3Au
_cell_length_a 7.284
_cell_length_b 9.250
_cell_length_c 16.063
_cell_angle_alpha 90.00
_cell_angle_beta 90.00
_cell_angle_gamma 90.00
_space_group_name_H-M_alt 'F m m m'
_space_group_IT_number 69
_space_group_name_Hall '-F 2 2'
loop_
_atom_site_label
_atom_site_type_symbol
_atom_site_fract_x
_atom_site_fract_y
_atom_site_fract_z
Pr1 Pr 0.241 0.000 0.000
Pr2 Pr 0.250 0.250 0.250
Zn1 Zn 0.000 0.000 0.337
Zn2 Zn 0.000 0.245 0.418
Au1 Au 0.000 0.000 0.168
```

D(E_F): 35.76 states/eV per cell
ΔE to the lowest computed polymorph: 0 meV per atom

---

(9)
A plane-wave DFT calculation with PBE was carried out for an optimized crystal structure of KHgI2.

Structure (CIF):
```
data_KHgI2
_cell_length_a 7.068
_cell_length_b 7.068
_cell_length_c 17.313
_cell_angle_alpha 90.00
_cell_angle_beta 90.00
_cell_angle_gamma 90.00
_space_group_name_H-M_alt 'I -4 2 d'
_space_group_IT_number 122
_space_group_name_Hall 'I -4 2bw'
loop_
_atom_site_label
_atom_site_type_symbol
_atom_site_fract_x
_atom_site_fract_y
_atom_site_fract_z
K1 K 0.000 0.000 0.000
Hg1 Hg 0.000 0.000 0.500
I1 I 0.198 0.250 0.625
```

D(E_F): 0.57 states/eV per cell
ΔE to the lowest computed polymorph: 0 meV per atom
formation energy without anion corrections: -0.707 eV per atom

---

(10)
A plane-wave DFT calculation with PBE was carried out for an optimized crystal structure of Be2PbF2.

Structure (CIF):
```
data_Be2PbF2
_cell_length_a 7.618
_cell_length_b 7.618
_cell_length_c 2.656
_cell_angle_alpha 90.00
_cell_angle_beta 90.00
_cell_angle_gamma 90.00
_space_group_name_H-M_alt 'P 4/m b m'
_space_group_IT_number 127
_space_group_name_Hall '-P 4 2ab'
loop_
_atom_site_label
_atom_site_type_symbol
_atom_site_fract_x
_atom_site_fract_y
_atom_site_fract_z
Be1 Be 0.109 0.391 0.000
Pb1 Pb 0.000 0.000 0.500
F1 F 0.100 0.600 0.500
```

D(E_F): 3.31 states/eV per cell
ΔE to the lowest computed polymorph: 201 meV per atom
formation energy without anion corrections: -0.450 eV per atom

---

(11)
A plane-wave DFT calculation with PBE was carried out for an optimized crystal structure of DySi2S6.

Structure (CIF):
```
data_DySi2S6
_cell_length_a 12.382
_cell_length_b 11.445
_cell_length_c 6.296
_cell_angle_alpha 90.00
_cell_angle_beta 99.89
_cell_angle_gamma 90.00
_space_group_name_H-M_alt 'C 1 2/c 1'
_space_group_IT_number 15
loop_
_space_group_symop_operation_xyz
'x,y,z'
'-x,-y,-z'
'-x,y,-z+1/2'
'x,-y,z+1/2'
'x+1/2,y+1/2,z'
'-x+1/2,-y+1/2,-z'
'-x+1/2,y+1/2,-z+1/2'
'x+1/2,-y+1/2,z+1/2'
loop_
_atom_site_label
_atom_site_type_symbol
_atom_site_fract_x
_atom_site_fract_y
_atom_site_fract_z
Dy1 Dy 0.000 0.123 0.250
Si1 Si 0.213 0.426 0.316
S1 S 0.114 0.079 0.651
S2 S 0.146 0.278 0.145
S3 S 0.147 0.426 0.617
```

D(E_F): 21.45 states/eV per cell
formation energy without anion corrections: -0.829 eV per atom

---

(12)
A plane-wave DFT calculation with PBE was carried out for an optimized crystal structure of Hf4TcAu.

Structure (CIF):
```
data_Hf4TcAu
_cell_length_a 4.580
_cell_length_b 4.580
_cell_length_c 6.493
_cell_angle_alpha 90.00
_cell_angle_beta 90.00
_cell_angle_gamma 90.00
_space_group_name_H-M_alt 'P 4/m m m'
_space_group_IT_number 123
_space_group_name_Hall '-P 4 2'
loop_
_atom_site_label
_atom_site_type_symbol
_atom_site_fract_x
_atom_site_fract_y
_atom_site_fract_z
Hf1 Hf 0.000 0.500 0.236
Tc1 Tc 0.000 0.000 0.000
Au1 Au 0.500 0.500 0.500
```

D(E_F): 8.12 states/eV per cell
ΔE to the lowest computed polymorph: 291 meV per atom

---

no.,final energy (eV/cell)
1,-145.750
2,-29.752
3,-17.993
4,-51.157
5,-78.760
6,-97.125
7,-91.731
8,-156.558
9,-29.309
10,-34.304
11,-190.693
12,-53.832